# BeP SCAN PBEsol geometry
# - Volume: 14.86 A^3/atom
# - Total magnetic moment: 0.00 μB per formula unit
# - Distance to the lowest polymorph of the same formula: 0 meV per atom
# - Calculated density: 2.23 g/cm³
data_BeP
_chemical_formula_sum 'Be4 P4'
_cell_length_a 4.917
_cell_length_b 4.917
_cell_length_c 4.917
_cell_angle_alpha 90.00
_cell_angle_beta 90.00
_cell_angle_gamma 90.00
_space_group_name_H-M_alt 'F -4 3 m'
_space_group_IT_number 216
_space_group_name_Hall 'F -4 2 3'
loop_
_atom_site_label
_atom_site_type_symbol
_atom_site_fract_x
_atom_site_fract_y
_atom_site_fract_z
_atom_site_occupancy
Be1 Be 0.000 0.000 0.000 1
P1 P 0.250 0.250 0.750 1

---

# BeP2 SCAN PBEsol geometry
# - Volume: 12.46 A^3/atom
# - Total magnetic moment: 0.00 μB per formula unit
# - Distance to the lowest polymorph of the same formula: 422 meV per atom
# - Calculated density: 3.15 g/cm³
data_BeP2
_chemical_formula_sum 'Be1 P2'
_cell_length_a 4.2910
_cell_length_b 4.2910
_cell_length_c 2.3444
_cell_angle_alpha 90.00
_cell_angle_beta 90.00
_cell_angle_gamma 120.00
_space_group_name_H-M_alt 'P 6/m m m'
_space_group_IT_number 191
_space_group_name_Hall '-P 6 2'
loop_
_atom_site_label
_atom_site_type_symbol
_atom_site_fract_x
_atom_site_fract_y
_atom_site_fract_z
_atom_site_occupancy
Be1 Be 0.0000 0.0000 0.0000 1
P1 P 0.3333 0.6667 0.5000 1

---

# BeP2 SCAN PBEsol geometry
# - Volume: 13.10 A^3/atom
# - Total magnetic moment: 0.00 μB per formula unit
# - Distance to the lowest polymorph of the same formula: 187 meV per atom
# - Calculated density: 3.00 g/cm³
data_BeP2
_chemical_formula_sum 'Be2 P4'
_cell_length_a 2.475
_cell_length_b 2.475
_cell_length_c 12.838
_cell_angle_alpha 90.00
_cell_angle_beta 90.00
_cell_angle_gamma 90.00
_space_group_name_H-M_alt 'I 4/m m m'
_space_group_IT_number 139
_space_group_name_Hall '-I 4 2'
loop_
_atom_site_label
_atom_site_type_symbol
_atom_site_fract_x
_atom_site_fract_y
_atom_site_fract_z
_atom_site_occupancy
Be1 Be 0.000 0.000 0.000 1
P1 P 0.000 0.000 0.366 1

---

# Be2P2Pb SCAN PBEsol geometry
# - Volume: 16.19 A^3/atom
# - Total magnetic moment: 0.00 μB per formula unit
# - Raw total energy: -21.1783 eV per atom
# - Calculated density: 5.89 g/cm³
data_Be2P2Pb
_chemical_formula_sum 'Be4 P4 Pb2'
_cell_length_a 3.557
_cell_length_b 3.557
_cell_length_c 12.790
_cell_angle_alpha 90.00
_cell_angle_beta 90.00
_cell_angle_gamma 90.00
_space_group_name_H-M_alt 'I 4/m m m'
_space_group_IT_number 139
_space_group_name_Hall '-I 4 2'
loop_
_atom_site_label
_atom_site_type_symbol
_atom_site_fract_x
_atom_site_fract_y
_atom_site_fract_z
_atom_site_occupancy
Be1 Be 0.000 0.500 0.250 1
P1 P 0.000 0.000 0.148 1
Pb1 Pb 0.000 0.000 0.500 1

---

# BePPb3 SCAN PBEsol geometry
# - Volume: 30.73 A^3/atom
# - Total magnetic moment: 0.00 μB per formula unit
# - Raw total energy: -47.4215 eV per atom
# - Calculated density: 7.15 g/cm³
data_BePPb3
_chemical_formula_sum 'Be1 P1 Pb3'
_cell_length_a 5.356
_cell_length_b 5.356
_cell_length_c 5.356
_cell_angle_alpha 90.00
_cell_angle_beta 90.00
_cell_angle_gamma 90.00
_space_group_name_H-M_alt 'P m -3 m'
_space_group_IT_number 221
_space_group_name_Hall '-P 4 2 3'
loop_
_atom_site_label
_atom_site_type_symbol
_atom_site_fract_x
_atom_site_fract_y
_atom_site_fract_z
_atom_site_occupancy
Be1 Be 0.000 0.000 0.000 1
P1 P 0.500 0.500 0.500 1
Pb1 Pb 0.000 0.500 0.500 1

---

# BePPt SCAN PBEsol geometry
# - Volume: 13.40 A^3/atom
# - Total magnetic moment: 0.01 μB per formula unit
# - Distance to the lowest polymorph of the same formula: 0 meV per atom
# - Calculated density: 9.71 g/cm³
data_BePPt
_chemical_formula_sum 'Be1 P1 Pt1'
_cell_length_a 4.1259
_cell_length_b 4.1259
_cell_length_c 2.7276
_cell_angle_alpha 90.00
_cell_angle_beta 90.00
_cell_angle_gamma 120.00
_space_group_name_H-M_alt 'P -6 m 2'
_space_group_IT_number 187
_space_group_name_Hall 'P -6 2'
loop_
_atom_site_label
_atom_site_type_symbol
_atom_site_fract_x
_atom_site_fract_y
_atom_site_fract_z
_atom_site_occupancy
Be1 Be 0.0000 0.0000 0.0000 1
P1 P 0.6667 0.3333 0.0000 1
Pt1 Pt 0.3333 0.6667 0.0000 1